Record 1
The following is a PBE-GGA calculation of a relaxed BaAs2Br crystal, from Alexandria via LeMat-Bulk.

total energy: -4.14 eV per atom
size of the total moment: 0.00 μB/atom
raw formation energy: -918 meV/atom
distance to the lowest polymorph of the same formula: 0 meV per atom

```
BaAs2Br
1.0
-1.5917 -2.8050 5.9540
-3.3044 -4.9382 3.2475
3.9087 -3.5573 0.3303
Ba Br As
1 1 2
direct
0.7500 0.7500 0.7500
0.2500 0.2500 0.2500
0.0129 0.0129 0.8902
0.4871 0.4871 0.6098
```

---

Record 2
The following is a PBE-GGA calculation of a relaxed Ba4As2Br5 crystal, from Alexandria via LeMat-Bulk.

total energy: -4.04 eV per atom
size of the total moment: 0.08 μB/atom
raw formation energy: -1731 meV/atom
distance to the lowest polymorph of the same formula: 0 meV per atom

```
Ba4As2Br5
1.0
4.7862 0.0000 0.0000
0.0000 8.8833 -0.7032
-2.3931 -3.6280 10.7453
As Br Ba
2 5 4
direct
0.5563 0.5558 0.1126
0.4437 0.4442 0.8874
0.1729 0.4217 0.3457
0.5000 0.0000 0.0000
0.8271 0.5783 0.6543
0.1730 0.9236 0.3460
0.8270 0.0764 0.6540
0.0004 0.7331 0.0007
0.7079 0.7076 0.4158
0.2921 0.2924 0.5842
0.9996 0.2669 0.9993
```

---

Record 3
The following is a PBE-GGA calculation of a relaxed BaAsBr2 crystal, from Alexandria via LeMat-Bulk.

total energy: -3.42 eV per atom
size of the total moment: 0.00 μB/atom
raw formation energy: -939 meV/atom
distance to the lowest polymorph of the same formula: 92 meV per atom

```
BaAsBr2
1.0
5.8418 -0.0106 0.0078
1.0720 5.7426 -0.0078
-2.9618 -3.4631 3.6553
Br Ba As
2 1 1
direct
0.5557 0.5557 0.0000
0.9443 0.9443 0.0000
0.2500 0.7500 0.5000
0.7500 0.2500 0.5000
```

---

> Among the records above, which one has the highest raw formation energy?

BaAs2Br